[1]
Te2WSeI after structural relaxation. Source: Alexandria via LeMat-Bulk, functional PBE-GGA.

Geometry as CIF:
```
data_Te2WSeI
_chemical_formula_sum 'Te2 W1 Se1 I1'
_cell_length_a 5.527
_cell_length_b 5.527
_cell_length_c 5.369
_cell_angle_alpha 90.00
_cell_angle_beta 90.00
_cell_angle_gamma 90.00
_symmetry_space_group_name_H-M 'P 4/m m m'
_symmetry_Int_Tables_number 123
_symmetry_space_group_name_Hall '-P 4 2'
loop_
_atom_site_label
_atom_site_fract_x
_atom_site_fract_y
_atom_site_fract_z
Te1 0.000 0.500 0.000
W1 0.000 0.000 0.500
Se1 0.500 0.500 0.000
I1 0.500 0.500 0.500
```

Properties
formation energy (no corrections)	1513	meV per atom
density of states at the Fermi level	0.7097	states/eV per atom
crystal system	tetragonal
total DFT energy (no corrections)	-3.341	eV/atom
spin magnetization	4.1	μB/cell
polymorph energy (0 for the lowest one)	79.3	kJ per mole of atoms



[2]
NaAc2AgTe4 after structural relaxation. Source: Alexandria via LeMat-Bulk, functional PBE-GGA.

Geometry as CIF:
```
data_NaAc2AgTe4
_chemical_formula_sum 'Na1 Ac2 Ag1 Te4'
_cell_length_a 7.751
_cell_length_b 4.745
_cell_length_c 8.264
_cell_angle_alpha 90.00
_cell_angle_beta 111.77
_cell_angle_gamma 90.00
_symmetry_space_group_name_H-M 'P 1 2/m 1'
_symmetry_Int_Tables_number 10
_symmetry_space_group_name_Hall '-P 2y'
loop_
_atom_site_label
_atom_site_fract_x
_atom_site_fract_y
_atom_site_fract_z
Na1 0.000 0.000 0.000
Ac1 0.500 0.000 0.500
Ac2 0.500 0.500 0.000
Ag1 0.000 0.500 0.500
Te1 0.233 0.000 0.737
Te2 0.242 0.500 0.246
```

Properties
formation energy (no corrections)	-1144	meV per atom
crystal system	monoclinic
total DFT energy (no corrections)	-4.263	eV/atom
spin magnetization	0.0	μB/cell